(1)
The following is a GGA-PBE calculation of an optimized crystal structure of DyY3Tm2Se6, from the Alexandria database.

Structure (extended XYZ):
```
12
Lattice="7.031 -0.021 -0.003 -3.532 6.080 -0.003 -1.170 -2.026 6.659" Properties=species:S:1:pos:R:3 pbc="T T T"
Se -0.043 4.043 5.019
Tm -0.005 4.042 -0.003
Se -1.195 2.050 1.635
Se 2.372 -0.010 1.635
Se 3.524 1.983 5.019
Y 1.165 2.017 3.327
Se 2.318 4.013 1.618
Dy 0.000 0.000 0.000
Tm 3.504 2.016 -0.003
Y -2.390 4.069 3.327
Y 4.719 -0.036 3.327
Se 0.011 0.020 5.036
```

DOS at the Fermi energy	0.470	states/eV per atom
formation energy without anion corrections	-1.729	eV/atom
SG	No. 12

(2)
The following is a GGA-PBE calculation of an optimized crystal structure of DyY2Tm3Se6, from the Alexandria database.

Structure (extended XYZ):
```
12
Lattice="-1.648 -1.062 -3.526 5.407 -6.045 -0.707 -5.963 -3.169 6.049" Properties=species:S:1:pos:R:3 pbc="T T T"
Se 0.109 -5.302 -0.762
Se -6.219 -5.749 2.330
Se -2.312 -4.974 2.578
Se 0.472 -8.026 2.196
Se 4.016 -4.527 -0.513
Dy -0.824 -0.531 -1.763
Y -1.742 -7.030 0.623
Se -2.675 -2.250 -0.380
Tm -4.443 -4.004 0.974
Y -0.462 -3.246 1.193
Tm 1.880 -3.553 -2.116
Tm 2.240 -6.272 0.842
```

DOS at the Fermi energy	0.463	states/eV per atom
formation energy without anion corrections	-1.710	eV/atom
SG	No. 12

(3)
The following is a GGA-PBE calculation of an optimized crystal structure of DyYTm2Se6, from the Alexandria database.

Structure (extended XYZ):
```
10
Lattice="-0.945 -3.378 -6.234 5.168 -4.201 -2.611 -1.121 -7.574 0.171" Properties=species:S:1:pos:R:3 pbc="T T T"
Tm 1.648 -7.383 -4.457
Y 1.288 -2.764 -2.802
Se 1.168 -7.783 -1.657
Se 0.306 -4.919 -4.381
Se 2.038 -7.548 -7.233
Se 4.206 -6.475 -3.739
Se 2.528 -10.110 -4.322
Tm -1.025 -7.383 0.053
Dy 2.838 -10.343 -7.138
Se -0.934 -8.611 -4.702
```

DOS at the Fermi energy	0.000	states/eV per atom
formation energy without anion corrections	-1.848	eV/atom
SG	No. 146

(4)
The following is a GGA-PBE calculation of an optimized crystal structure of DyY3Tm3Se8, from the Alexandria database.

Structure (extended XYZ):
```
15
Lattice="8.071 0.000 0.000 -4.036 6.990 -0.024 0.000 -4.637 6.622" Properties=species:S:1:pos:R:3 pbc="T T T"
Y 2.018 3.495 -0.012
Tm 4.036 -2.318 3.311
Y 0.000 0.000 0.000
Se 1.964 3.481 4.944
Se 6.000 -1.128 1.654
Se 4.036 0.017 4.914
Se 2.071 -1.128 1.654
Se -1.964 3.481 4.944
Tm 2.018 1.176 3.299
Se 0.000 0.079 4.956
Dy 0.000 -2.318 3.311
Y -2.018 3.495 -0.012
Tm -2.018 1.176 3.299
Se 0.000 2.336 1.684
Se 4.036 2.274 1.642
```

DOS at the Fermi energy	0.414	states/eV per atom
formation energy without anion corrections	-1.810	eV/atom
SG	No. 166

(5)
The following is a GGA-PBE calculation of an optimized crystal structure of Dy2YTmSe5, from the Alexandria database.

Structure (extended XYZ):
```
9
Lattice="5.089 0.000 0.000 0.000 5.089 0.000 0.000 0.000 10.671" Properties=species:S:1:pos:R:3 pbc="T T T"
Se 0.000 2.545 5.335
Tm 0.000 0.000 5.335
Se 2.545 2.545 0.000
Se 0.000 0.000 2.642
Se 2.545 0.000 5.335
Se 0.000 0.000 8.029
Dy 2.545 2.545 7.063
Y 0.000 0.000 0.000
Dy 2.545 2.545 3.608
```

DOS at the Fermi energy	0.619	states/eV per atom
formation energy without anion corrections	-1.145	eV/atom
SG	No. 123

(6)
The following is a GGA-PBE calculation of an optimized crystal structure of DyTm2ZrSe4, from the Alexandria database.

Structure (extended XYZ):
```
8
Lattice="-3.466 1.997 -0.135 -1.859 -2.816 6.071 2.126 4.040 5.180" Properties=species:S:1:pos:R:3 pbc="T T T"
Tm 2.126 4.040 5.180
Tm -0.670 3.018 2.523
Zr 0.134 0.612 5.625
Se -2.587 -0.088 5.800
Dy -2.662 -0.410 2.968
Se 0.185 0.891 8.429
Se -0.612 3.308 5.316
Se -3.384 2.330 2.687
```

DOS at the Fermi energy	0.534	states/eV per atom
formation energy without anion corrections	-1.517	eV/atom
SG	No. 10

(7)
The following is a GGA-PBE calculation of an optimized crystal structure of DyU2Se5, from the Alexandria database.

Structure (extended XYZ):
```
16
Lattice="4.019 0.000 0.000 0.000 8.081 0.000 0.000 0.000 12.344" Properties=species:S:1:pos:R:3 pbc="T T T"
U 2.010 3.846 10.139
Se 0.000 5.527 8.619
Se 0.000 2.554 3.726
Se 0.000 1.486 9.898
U 2.010 7.886 8.378
U 2.010 0.195 3.967
U 2.010 4.236 2.205
Se 0.000 0.000 6.172
Se 0.000 4.041 0.000
Se 2.010 1.416 1.299
Dy 0.000 4.041 6.172
Se 2.010 5.457 4.873
Se 0.000 6.595 2.446
Se 2.010 2.625 7.471
Dy 0.000 0.000 0.000
Se 2.010 6.665 11.045
```

DOS at the Fermi energy	1.631	states/eV per atom
formation energy without anion corrections	-1.315	eV/atom
SG	No. 55
energy above the lowest structure with this stoichiometry	0	meV/atom

(8)
The following is a GGA-PBE calculation of an optimized crystal structure of DyUSe4, from the Alexandria database.

Structure (extended XYZ):
```
12
Lattice="-2.388 -5.309 3.791 5.574 -3.769 -1.768 3.279 2.159 5.735" Properties=species:S:1:pos:R:3 pbc="T T T"
Se 4.396 -4.541 0.671
Dy 4.426 -0.805 1.983
Se 6.542 -2.521 2.858
U 1.593 -4.539 1.011
Se 2.069 -2.378 7.086
Se 2.180 -2.462 2.667
Se 4.285 -4.457 5.090
Dy 0.446 -1.575 4.763
Se 2.250 -6.552 2.868
U 0.000 0.000 0.000
Se 4.215 -0.367 4.889
Se -0.077 -4.398 4.899
```

DOS at the Fermi energy	0.459	states/eV per atom
formation energy without anion corrections	-1.220	eV/atom
SG	No. 14
energy above the lowest structure with this stoichiometry	155	meV/atom

(9)
The following is a GGA-PBE calculation of an optimized crystal structure of Dy2USe5, from the Alexandria database.

Structure (extended XYZ):
```
16
Lattice="5.615 0.000 0.000 -2.807 6.771 0.000 0.000 0.000 13.690" Properties=species:S:1:pos:R:3 pbc="T T T"
Se 0.000 0.632 5.174
Se 0.000 4.341 5.846
Se 0.000 4.341 0.999
Se 2.807 2.430 7.844
Se 2.807 6.139 8.516
U 0.000 2.738 3.422
Dy 2.807 4.761 6.077
U 2.807 4.033 10.267
Se 2.807 6.139 12.019
Se 2.807 2.430 12.691
Se 0.000 3.365 10.267
Dy 0.000 2.011 7.613
Se 2.807 3.407 3.422
Se 0.000 0.632 1.671
Dy 2.807 4.761 0.768
Dy 0.000 2.011 12.922
```

DOS at the Fermi energy	0.537	states/eV per atom
formation energy without anion corrections	-1.542	eV/atom
SG	No. 63
energy above the lowest structure with this stoichiometry	0	meV/atom

(10)
The following is a GGA-PBE calculation of an optimized crystal structure of DyUSe2, from the Alexandria database.

Structure (extended XYZ):
```
4
Lattice="-1.116 -3.431 1.530 0.984 -3.351 -1.778 7.671 -2.590 4.805" Properties=species:S:1:pos:R:3 pbc="T T T"
Dy 0.000 0.000 0.000
Se 5.311 -2.489 3.310
Se 2.228 -6.883 1.247
U 3.770 -4.686 2.278
```

DOS at the Fermi energy	1.123	states/eV per atom
formation energy without anion corrections	-0.870	eV/atom
SG	No. 166
energy above the lowest structure with this stoichiometry	454	meV/atom

(11)
The following is a GGA-PBE calculation of an optimized crystal structure of Dy2U2Se7, from the Alexandria database.

Structure (extended XYZ):
```
11
Lattice="-2.127 -2.898 1.819 -3.860 -4.239 -6.804 3.651 -7.470 -3.167" Properties=species:S:1:pos:R:3 pbc="T T T"
Se -0.953 -4.861 0.065
Se 1.300 -5.387 -2.600
Dy -2.415 -10.742 -6.550
U 0.118 -7.856 -3.453
Se 2.508 -8.884 -2.296
Se -2.181 -6.003 -3.189
U -2.211 -4.948 -6.006
Dy -1.282 -3.279 -2.260
Se 0.264 -10.454 -7.419
Se -0.313 -10.649 -3.943
Se -1.765 -7.911 -5.742
```

DOS at the Fermi energy	0.908	states/eV per atom
formation energy without anion corrections	-1.434	eV/atom
SG	No. 44

(12)
The following is a GGA-PBE calculation of an optimized crystal structure of DyU2Se5, from the Alexandria database.

Structure (extended XYZ):
```
16
Lattice="-3.687 6.292 0.904 -5.167 -2.358 -4.663 0.998 -4.722 7.073" Properties=species:S:1:pos:R:3 pbc="T T T"
U -6.444 4.098 -2.081
Se -2.736 0.525 4.762
Se -3.109 0.843 1.023
Se -5.120 -1.313 -1.449
Se -7.766 1.467 -1.721
Se -2.101 -4.411 2.563
Dy -1.714 -1.378 2.597
Dy -6.142 0.589 0.717
Se -5.755 3.623 0.751
U -2.882 3.607 0.011
Se 0.000 0.000 0.000
Se -4.427 1.967 -1.880
U -5.972 0.326 -3.770
Se -4.747 -1.631 2.290
U -2.410 -0.165 -1.679
Se -0.090 -2.255 5.034
```

DOS at the Fermi energy	0.542	states/eV per atom
formation energy without anion corrections	-1.285	eV/atom
SG	No. 140
energy above the lowest structure with this stoichiometry	30	meV/atom

(13)
The following is a GGA-PBE calculation of an optimized crystal structure of DyUSe2, from the Alexandria database.

Structure (extended XYZ):
```
4
Lattice="-3.229 1.963 -0.917 -2.264 -1.233 -2.910 -5.685 -3.879 3.470" Properties=species:S:1:pos:R:3 pbc="T T T"
Se -2.763 -0.754 -0.128
Se -4.754 -2.883 2.323
U -5.630 -1.619 -0.128
Dy -9.306 -3.348 0.867
```

DOS at the Fermi energy	0.842	states/eV per atom
formation energy without anion corrections	-1.324	eV/atom
SG	No. 160
energy above the lowest structure with this stoichiometry	0	meV/atom

(14)
The following is a GGA-PBE calculation of an optimized crystal structure of DyU2Se6, from the Alexandria database.

Structure (extended XYZ):
```
9
Lattice="-0.518 -4.094 -0.476 2.477 -1.232 7.907 -8.673 3.102 0.897" Properties=species:S:1:pos:R:3 pbc="T T T"
U -4.563 -2.174 5.546
U -2.152 -0.051 2.782
Se -4.741 0.144 3.926
Se 0.421 -0.276 1.917
Se -1.974 -2.369 4.403
Se -3.760 -0.402 7.556
Se -2.954 -1.823 0.772
Dy -0.259 -2.047 -0.238
Se -7.135 -1.949 6.411
```

DOS at the Fermi energy	1.182	states/eV per atom
formation energy without anion corrections	-1.290	eV/atom
SG	No. 12
energy above the lowest structure with this stoichiometry	0	meV/atom

(15)
The following is a GGA-PBE calculation of an optimized crystal structure of DyUSe4, from the Alexandria database.

Structure (extended XYZ):
```
12
Lattice="-2.994 -2.878 -0.159 2.320 -2.061 -6.372 7.682 -8.421 7.814" Properties=species:S:1:pos:R:3 pbc="T T T"
U 5.001 -5.241 0.721
Dy 2.344 -5.650 3.828
Dy 0.000 0.000 0.000
Se 5.678 -9.233 5.926
Se 1.729 -1.714 -1.543
Se 6.668 -6.900 -0.656
Se 5.279 -11.647 2.826
Se 4.074 -7.363 2.285
Se 2.935 -5.997 -1.002
Se 1.331 -4.128 -4.643
Se 0.341 -6.461 1.939
U -0.337 -2.470 -3.265
```

DOS at the Fermi energy	0.715	states/eV per atom
formation energy without anion corrections	-1.375	eV/atom
SG	No. 12
energy above the lowest structure with this stoichiometry	0	meV/atom

(16)
The following is a GGA-PBE calculation of an optimized crystal structure of Dy2USe6, from the Alexandria database.

Structure (extended XYZ):
```
18
Lattice="-2.364 -4.136 -4.641 1.579 -5.202 3.832 -11.262 0.488 5.303" Properties=species:S:1:pos:R:3 pbc="T T T"
Dy -9.801 -4.262 4.025
U 0.000 0.000 0.000
Dy -3.777 0.164 1.779
Se -4.080 -2.694 1.560
Se -8.656 -4.585 6.649
Se -0.976 -4.918 3.033
Se -3.391 -4.265 -2.156
Se -11.071 -3.933 1.460
Se -4.385 -6.312 1.247
Dy -7.484 0.324 3.524
Se -0.557 -6.619 -0.574
Se -4.875 -4.736 4.714
U -6.024 -4.425 2.247
Dy -2.246 -4.589 0.468
Se -7.967 -6.157 2.933
Se -7.172 -4.115 -0.220
Se -7.662 -2.538 3.247
Se -0.229 -2.719 -0.236
```

DOS at the Fermi energy	0.214	states/eV per atom
formation energy without anion corrections	-1.345	eV/atom
SG	No. 136

(17)
The following is a GGA-PBE calculation of an optimized crystal structure of Dy2USe4, from the Alexandria database.

Structure (extended XYZ):
```
14
Lattice="-1.413 -2.871 2.405 6.532 1.399 2.175 -4.886 9.551 8.530" Properties=species:S:1:pos:R:3 pbc="T T T"
Se -0.789 2.385 2.383
U 3.203 2.360 4.698
Dy -0.993 7.453 11.643
Se -0.416 5.945 6.851
U -2.969 5.719 8.413
Dy 1.227 0.626 1.468
Dy -0.566 4.130 4.597
Se -0.706 -1.435 1.203
Se -1.646 8.349 8.998
Se 1.879 -0.270 4.112
Se -3.149 3.340 5.468
Se 0.649 2.135 6.259
Se 1.022 5.694 10.727
Dy 0.799 3.949 8.514
```

DOS at the Fermi energy	0.912	states/eV per atom
formation energy without anion corrections	-1.556	eV/atom
SG	No. 63

(18)
The following is a GGA-PBE calculation of an optimized crystal structure of DyU2Se4, from the Alexandria database.

Structure (extended XYZ):
```
14
Lattice="1.112 -7.989 0.682 4.981 -3.841 -5.084 7.039 -2.887 2.746" Properties=species:S:1:pos:R:3 pbc="T T T"
U 6.010 -3.364 -1.169
U 0.000 0.000 0.000
Se 6.813 -5.147 0.959
Se 9.209 -7.052 -1.544
Se 7.362 -9.092 1.296
Dy 3.047 -5.915 -2.201
Dy 2.491 -1.921 -2.542
Se 3.191 -3.691 -0.405
U 3.519 -1.443 1.373
Se 6.320 -9.570 -2.616
Se 9.941 -11.026 -1.252
Se 3.923 -7.666 -0.113
Se 5.770 -5.626 -2.952
U 4.075 -5.438 1.714
```

DOS at the Fermi energy	1.325	states/eV per atom
formation energy without anion corrections	-1.331	eV/atom
SG	No. 74
energy above the lowest structure with this stoichiometry	0	meV/atom

(19)
The following is a GGA-PBE calculation of an optimized crystal structure of Dy2USe5, from the Alexandria database.

Structure (extended XYZ):
```
8
Lattice="0.692 -5.387 1.347 2.886 -3.356 -3.284 6.757 -0.916 4.491" Properties=species:S:1:pos:R:3 pbc="T T T"
Se 7.990 -4.497 1.155
Se 6.316 -4.060 3.764
Se 4.822 -2.136 0.603
Se 4.019 -5.598 -1.210
U 5.167 -4.829 1.277
Dy 7.831 -6.880 3.330
Se 2.344 -5.161 1.399
Dy 2.503 -2.779 -0.777
```

DOS at the Fermi energy	0.591	states/eV per atom
formation energy without anion corrections	-1.322	eV/atom
SG	No. 69
energy above the lowest structure with this stoichiometry	219	meV/atom

(20)
The following is a GGA-PBE calculation of an optimized crystal structure of Dy2U3Se8, from the Alexandria database.

Structure (extended XYZ):
```
13
Lattice="-3.556 5.330 -2.475 -6.647 -2.662 3.819 6.234 3.287 4.518" Properties=species:S:1:pos:R:3 pbc="T T T"
Se -1.398 0.576 6.590
Se 1.818 5.269 2.382
U -4.936 -1.977 2.836
Se -2.572 5.379 -0.727
Se -5.788 0.687 3.481
U -1.711 -0.685 0.983
Dy -4.269 3.176 3.405
Se -5.855 3.927 1.167
Se -2.354 2.062 1.508
U -1.778 2.665 -1.237
Se 1.886 2.028 4.695
Se -1.616 3.894 4.355
Dy 0.299 2.779 2.458
```

DOS at the Fermi energy	1.142	states/eV per atom
formation energy without anion corrections	-1.340	eV/atom
SG	No. 12